# Li2YMgAg4

A geometry-optimized Li2YMgAg4 structure (PBE-GGA, Alexandria via LeMat-Bulk).

Results
Crystal system: trigonal
Calculated density (Mg/m³): 6.0
E (eV per atom): -3.120
Energy of formation from the pure elements (eV/atom): -0.209
Space group: No. 166

Lattice parameters (Å, degrees): 4.787 4.787 8.242 73.12 73.12 60.00
Sites, in units of the cell vectors:
Ag 0.870 0.870 0.391
Ag 0.382 0.382 0.853
Ag 0.618 0.618 0.147
Ag 0.130 0.130 0.609
Li 0.249 0.249 0.254
Li 0.751 0.751 0.746
Y 0.000 0.000 0.000
Mg 0.500 0.500 0.500